DFT (PBE-GGA) results for a relaxed K2ZnPbI6 crystal.

Calculated values
- Magnetization: 0.0 μB/f.u.
- DOS(E_F): 0.00 states/eV per cell
- Raw total energy: -2.565 eV/atom
- Crystal system: trigonal
- V: 50.12 Å³/atom

a = 8.4030 Å, b = 8.4024 Å, c = 9.5259 Å
α = 63.82°, β = 63.80°, γ = 60.01°
Element x y z (fractional)
I: 0.7072 0.0895 0.7332
I: 0.4701 0.7071 0.7335
I: 0.0891 0.4702 0.7335
I: 0.5808 0.2127 0.2297
I: 0.2129 0.9768 0.2295
I: 0.9769 0.5806 0.2296
K: 0.5171 0.5174 0.4481
K: 0.0323 0.0324 0.9028
Pb: 0.8170 0.8169 0.5492
Zn: 0.2580 0.2579 0.2261

---

DFT (PBE-GGA) results for a relaxed Sr2YTiSe crystal.

Calculated values
- Magnetization: 0.5 μB/f.u.
- DOS(E_F): 8.28 states/eV per cell
- Raw total energy: -3.543 eV/atom
- Crystal system: tetragonal
- V: 45.77 Å³/atom

a = 6.6257 Å, b = 5.2130 Å, c = 6.6257 Å
α = 90.00°, β = 90.00°, γ = 90.00°
Element x y z (fractional)
Sr: 0.0000 0.0000 0.5000
Sr: 0.5000 0.0000 0.0000
Y: 0.0000 0.0000 0.0000
Ti: 0.5000 0.5000 0.5000
Se: 0.0000 0.5000 0.0000

---

DFT (PBE-GGA) results for a relaxed TbPr3Th2Sb6 crystal.

Calculated values
- Magnetization: 0.0 μB/f.u.
- DOS(E_F): 4.83 states/eV per cell
- Raw total energy: -5.983 eV/atom
- Crystal system: monoclinic
- V: 32.60 Å³/atom

a = 4.5202 Å, b = 9.0320 Å, c = 10.1079 Å
α = 103.12°, β = 102.92°, γ = 90.00°
Element x y z (fractional)
Sb: 0.3321 0.4187 0.6641
Sb: 0.6640 0.0840 0.3281
Sb: 0.0002 0.2434 0.0004
Sb: 0.3360 0.9160 0.6719
Sb: 0.6679 0.5813 0.3359
Sb: 0.9998 0.7566 0.9996
Pr: 0.1667 0.8342 0.3335
Pr: 0.5000 0.5000 0.0000
Pr: 0.8333 0.1658 0.6665
Th: 0.1649 0.3307 0.3298
Th: 0.8351 0.6693 0.6702
Tb: 0.5000 0.0000 0.0000

---

DFT (PBE-GGA) results for a relaxed VNiRu2Br crystal.

Calculated values
- Magnetization: 3.7 μB/f.u.
- DOS(E_F): 6.65 states/eV per cell
- Raw total energy: -5.371 eV/atom
- Crystal system: tetragonal
- V: 18.50 Å³/atom

a = 4.5558 Å, b = 4.4563 Å, c = 4.5558 Å
α = 90.00°, β = 90.00°, γ = 90.00°
Element x y z (fractional)
Ni: 0.0000 0.0000 0.0000
Br: 0.0000 0.5000 0.0000
Ru: 0.5000 0.0000 0.0000
Ru: 0.0000 0.0000 0.5000
V: 0.5000 0.5000 0.5000

---

Among the records above, which one has the highest raw total energy? K2ZnPbI6

---

Please write out number 4 again, unchanged.
DFT (PBE-GGA) results for a relaxed VNiRu2Br crystal.

Calculated values
- Magnetization: 3.7 μB/f.u.
- DOS(E_F): 6.65 states/eV per cell
- Raw total energy: -5.371 eV/atom
- Crystal system: tetragonal
- V: 18.50 Å³/atom

a = 4.5558 Å, b = 4.4563 Å, c = 4.5558 Å
α = 90.00°, β = 90.00°, γ = 90.00°
Element x y z (fractional)
Ni: 0.0000 0.0000 0.0000
Br: 0.0000 0.5000 0.0000
Ru: 0.5000 0.0000 0.0000
Ru: 0.0000 0.0000 0.5000
V: 0.5000 0.5000 0.5000

---

What is the DOS(E_F) in the fourth record? 6.65 states/eV per cell